P) Entry from the Alexandria database: a relaxed structure of Cs6Te2O (PBE-GGA).

```
data_Cs6Te2O
_chemical_formula_sum 'Cs6 Te2 O1'
_cell_length_a 8.3398
_cell_length_b 8.3398
_cell_length_c 6.6716
_cell_angle_alpha 90.00
_cell_angle_beta 90.00
_cell_angle_gamma 120.00
_space_group_name_H-M_alt 'P -3 m 1'
_space_group_IT_number 164
_space_group_name_Hall '-P 3 2"'
loop_
_atom_site_label
_atom_site_type_symbol
_atom_site_fract_x
_atom_site_fract_y
_atom_site_fract_z
_atom_site_occupancy
Cs1 Cs 0.1711 0.3421 0.2719 1
Te1 Te 0.3333 0.6667 0.7465 1
O1 O 0.0000 0.0000 0.5000 1
```

=====

Q) Entry from the Alexandria database: a relaxed structure of Cs6Te2O (PBE-GGA).

```
data_Cs6Te2O
_chemical_formula_sum 'Cs12 Te4 O2'
_cell_length_a 4.998
_cell_length_b 16.761
_cell_length_c 9.654
_cell_angle_alpha 90.00
_cell_angle_beta 90.00
_cell_angle_gamma 90.00
_space_group_name_H-M_alt 'A m m 2'
_space_group_IT_number 38
loop_
_space_group_symop_operation_xyz
'x,y,z'
'-x,-y,z'
'-x,y,z'
'x,-y,z'
'x,y+1/2,z+1/2'
'-x,-y+1/2,z+1/2'
'-x,y+1/2,z+1/2'
'x,-y+1/2,z+1/2'
loop_
_atom_site_label
_atom_site_type_symbol
_atom_site_fract_x
_atom_site_fract_y
_atom_site_fract_z
_atom_site_occupancy
Cs1 Cs 0.000 0.000 0.000 1
Cs2 Cs 0.000 0.112 0.663 1
Cs3 Cs 0.500 0.000 0.377 1
Cs4 Cs 0.500 0.201 0.975 1
Te1 Te 0.000 0.166 0.275 1
O1 O 0.500 0.000 0.771 1
```

=====

Stability, descending: P), Q)